Entry 1:
# CaCe2CuN4

A relaxed CaCe2CuN4 crystal (PBE, Alexandria via LeMat-Bulk).

Cell: 6.045 6.045 11.749 Å, 90.00 90.00 145.80°
Sites, in units of the cell vectors:
1 Ca 0.099 0.901 0.750
2 Ca 0.901 0.099 0.250
3 Ce 0.369 0.631 0.555
4 Ce 0.369 0.631 0.945
5 Ce 0.631 0.369 0.055
6 Ce 0.631 0.369 0.445
7 Cu 0.166 0.834 0.250
8 Cu 0.834 0.166 0.750
9 N 0.000 0.000 0.000
10 N 0.000 0.000 0.500
11 N 0.258 0.742 0.110
12 N 0.258 0.742 0.390
13 N 0.434 0.566 0.750
14 N 0.566 0.434 0.250
15 N 0.742 0.258 0.610
16 N 0.742 0.258 0.890

Space group = No. 63
Size of the total moment = 0.05 μB per formula unit
Formation energy (no corrections) = -872 meV per atom

---

Entry 2:
# AgTeSI2

A relaxed AgTeSI2 crystal (PBE, Alexandria via LeMat-Bulk).

Cell: 5.593 5.593 5.544 Å, 90.00 90.00 90.00°
Sites, in units of the cell vectors:
1 Ag 0.000 0.000 0.000
2 Te 0.000 0.000 0.500
3 S 0.500 0.500 0.500
4 I 0.000 0.500 0.000
5 I 0.500 0.000 0.000

Space group = No. 123
Size of the total moment = 1.65 μB per formula unit
Energy above the lowest structure with this stoichiometry = 0.221 eV/atom
Formation energy (no corrections) = 742 meV per atom

---

Entry 3:
# Dy2Zn5Cu2Rh

A relaxed Dy2Zn5Cu2Rh crystal (PBE, Alexandria via LeMat-Bulk).

Cell: 9.187 9.187 4.027 Å, 90.00 90.00 90.00°
Sites, in units of the cell vectors:
1 Dy 0.185 0.315 0.000
2 Dy 0.315 0.815 0.000
3 Dy 0.685 0.185 0.000
4 Dy 0.815 0.685 0.000
5 Zn 0.000 0.500 0.500
6 Zn 0.048 0.801 0.500
7 Zn 0.199 0.048 0.500
8 Zn 0.301 0.548 0.500
9 Zn 0.452 0.301 0.500
10 Zn 0.500 0.000 0.500
11 Zn 0.548 0.699 0.500
12 Zn 0.699 0.452 0.500
13 Zn 0.801 0.952 0.500
14 Zn 0.952 0.199 0.500
15 Cu 0.109 0.609 0.000
16 Cu 0.391 0.109 0.000
17 Cu 0.609 0.891 0.000
18 Cu 0.891 0.391 0.000
19 Rh 0.000 0.000 0.000
20 Rh 0.500 0.500 0.000

Space group = No. 127
Size of the total moment = 0.00 μB per formula unit
Formation energy from the elements = -0.28 eV/atom

---

Entry 4:
# Rb3ErTh3Se8

A relaxed Rb3ErTh3Se8 crystal (PBE, Alexandria via LeMat-Bulk).

Cell: 9.594 9.594 9.594 Å, 52.40 52.40 52.40°
Sites, in units of the cell vectors:
1 Rb 0.000 0.500 0.500
2 Rb 0.500 0.000 0.500
3 Rb 0.500 0.500 0.000
4 Er 0.500 0.500 0.500
5 Th 0.000 0.000 0.500
6 Th 0.000 0.500 0.000
7 Th 0.500 0.000 0.000
8 Se 0.236 0.236 0.236
9 Se 0.239 0.729 0.729
10 Se 0.271 0.271 0.761
11 Se 0.271 0.761 0.271
12 Se 0.729 0.239 0.729
13 Se 0.729 0.729 0.239
14 Se 0.761 0.271 0.271
15 Se 0.764 0.764 0.764

Space group = No. 166
Size of the total moment = 0.00 μB per formula unit
Formation energy (no corrections) = -1625 meV per atom

---

Entry 5:
# Dy5Sn2Te

A relaxed Dy5Sn2Te crystal (PBE, Alexandria via LeMat-Bulk).

Cell: 5.702 5.702 16.588 Å, 90.00 90.00 116.92°
Sites, in units of the cell vectors:
1 Dy 0.076 0.924 0.597
2 Dy 0.076 0.924 0.903
3 Dy 0.249 0.751 0.250
4 Dy 0.423 0.577 0.597
5 Dy 0.423 0.577 0.903
6 Dy 0.577 0.423 0.097
7 Dy 0.577 0.423 0.403
8 Dy 0.751 0.249 0.750
9 Dy 0.924 0.076 0.097
10 Dy 0.924 0.076 0.403
11 Sn 0.250 0.750 0.066
12 Sn 0.250 0.750 0.434
13 Sn 0.750 0.250 0.566
14 Sn 0.750 0.250 0.934
15 Te 0.249 0.751 0.750
16 Te 0.751 0.249 0.250

Space group = No. 63
Size of the total moment = 0.00 μB per formula unit
Formation energy (no corrections) = -502 meV per atom

---

Entry 6:
# Er3CdIr

A relaxed Er3CdIr crystal (PBE, Alexandria via LeMat-Bulk).

Cell: 8.774 8.774 3.917 Å, 90.00 90.00 110.30°
Sites, in units of the cell vectors:
1 Er 0.179 0.428 0.500
2 Er 0.180 0.820 0.000
3 Er 0.428 0.179 0.500
4 Er 0.572 0.821 0.500
5 Er 0.820 0.180 0.000
6 Er 0.821 0.572 0.500
7 Cd 0.000 0.000 0.500
8 Cd 0.500 0.500 0.000
9 Ir 0.000 0.500 0.000
10 Ir 0.500 0.000 0.000

Space group = No. 65
Size of the total moment = 0.00 μB per formula unit
Energy above the lowest structure with this stoichiometry = 0.035 eV/atom
Formation energy from the elements = -0.45 eV/atom

---

Entry 7:
# Sm2TcHg

A relaxed Sm2TcHg crystal (PBE, Alexandria via LeMat-Bulk).

Cell: 3.571 3.571 7.644 Å, 90.00 90.00 90.00°
Sites, in units of the cell vectors:
1 Sm 0.000 0.000 0.219
2 Sm 0.000 0.000 0.781
3 Tc 0.500 0.500 0.000
4 Hg 0.500 0.500 0.500

Space group = No. 123
Size of the total moment = 0.00 μB per formula unit
Formation energy from the elements = -0.18 eV/atom

---

Entry 8:
# Hf2AlReTe

A relaxed Hf2AlReTe crystal (PBE, Alexandria via LeMat-Bulk).

Cell: 4.954 4.954 4.918 Å, 90.00 90.00 90.00°
Sites, in units of the cell vectors:
1 Hf 0.000 0.500 0.000
2 Hf 0.500 0.000 0.000
3 Al 0.000 0.000 0.000
4 Re 0.500 0.500 0.500
5 Te 0.000 0.000 0.500

Space group = No. 123
Size of the total moment = 2.15 μB per formula unit
Formation energy (no corrections) = 1515 meV per atom

---

Entry 9:
# CaLaGa

A relaxed CaLaGa crystal (PBE, Alexandria via LeMat-Bulk).

Cell: 11.898 5.158 7.145 Å, 90.00 124.59 90.00°
Sites, in units of the cell vectors:
1 Ca 0.000 0.000 0.000
2 Ca 0.248 0.500 0.414
3 Ca 0.500 0.500 0.000
4 Ca 0.748 0.000 0.414
5 La 0.138 0.000 0.651
6 La 0.388 0.000 0.241
7 La 0.638 0.500 0.651
8 La 0.888 0.500 0.241
9 Ga 0.209 0.500 0.937
10 Ga 0.434 0.000 0.715
11 Ga 0.709 0.000 0.937
12 Ga 0.934 0.500 0.715

Space group = No. 8
Size of the total moment = 0.00 μB per formula unit
Energy above the lowest structure with this stoichiometry = 0.115 eV/atom
Formation energy from the elements = -0.33 eV/atom

---

Entry 10:
# LaIn

A relaxed LaIn crystal (PBE, Alexandria via LeMat-Bulk).

Cell: 5.261 5.261 5.885 Å, 90.00 90.00 120.00°
Sites, in units of the cell vectors:
1 La 0.333 0.667 0.250
2 La 0.667 0.333 0.750
3 In 0.000 0.000 0.000
4 In 0.000 0.000 0.500

Space group = No. 194
Size of the total moment = 0.00 μB per formula unit
Formation energy from the elements = -0.25 eV/atom

---

Entry 11:
# AgSb2Te

A relaxed AgSb2Te crystal (PBE, Alexandria via LeMat-Bulk).

Cell: 3.163 5.994 6.004 Å, 90.00 90.17 90.00°
Sites, in units of the cell vectors:
1 Ag 0.000 0.000 0.000
2 Sb 0.000 0.000 0.500
3 Sb 0.000 0.500 0.500
4 Te 0.000 0.500 0.000

Space group = No. 10
Size of the total moment = 0.00 μB per formula unit
Formation energy (no corrections) = 101 meV per atom

---

Entry 12:
# PmPuNiGe

A relaxed PmPuNiGe crystal (PBE, Alexandria via LeMat-Bulk).

Cell: 7.074 7.074 7.074 Å, 90.00 90.00 90.00°
Sites, in units of the cell vectors:
1 Pm 0.000 0.000 0.000
2 Pm 0.000 0.500 0.500
3 Pm 0.500 0.000 0.500
4 Pm 0.500 0.500 0.000
5 Pu 0.000 0.000 0.500
6 Pu 0.000 0.500 0.000
7 Pu 0.500 0.000 0.000
8 Pu 0.500 0.500 0.500
9 Ni 0.250 0.250 0.750
10 Ni 0.250 0.750 0.250
11 Ni 0.750 0.250 0.250
12 Ni 0.750 0.750 0.750
13 Ge 0.250 0.250 0.250
14 Ge 0.250 0.750 0.750
15 Ge 0.750 0.250 0.750
16 Ge 0.750 0.750 0.250

Space group = No. 216
Size of the total moment = 5.23 μB per formula unit
Formation energy from the elements = -0.28 eV/atom

---

| no. | DFT total energy (eV/f.u.) |
| --- | --- |
| 1 | -58.24 |
| 2 | -9.51 |
| 3 | -33.92 |
| 4 | -81.97 |
| 5 | -38.17 |
| 6 | -25.74 |
| 7 | -20.83 |
| 8 | -31.66 |
| 9 | -10.94 |
| 10 | -8.17 |
| 11 | -13.83 |
| 12 | -30.61 |